DFT (GGA-PBE) results for crystalline Dy2AlO4 at its relaxed geometry.

The structure in extended XYZ format:
```
14
Lattice="10.014 0.000 0.000 0.000 3.023 0.000 -2.868 0.000 5.368" Properties=species:S:1:pos:R:3 pbc="T T T"
Dy 1.023 0.000 1.035
Dy 1.117 1.511 4.332
Dy 6.030 1.511 1.035
Dy 6.124 0.000 4.332
Al -1.434 1.511 2.684
Al 3.573 0.000 2.684
O -1.918 1.511 4.514
O -0.155 0.000 3.020
O 2.294 1.511 2.348
O 4.058 0.000 0.854
O 3.089 0.000 4.514
O 4.852 1.511 3.020
O 7.302 0.000 2.348
O 9.065 1.511 0.854
```

## Properties
The value obtained for the size of the total moment is 0.0 μB per formula unit. As for the energy: -7.63 eV per atom. As for the symmetry: C2/m, No. 12.

=====

DFT (GGA-PBE) results for crystalline DyPaAlO6 at its relaxed geometry.

The structure in extended XYZ format:
```
9
Lattice="5.359 0.000 0.000 -2.679 4.641 0.000 0.000 0.000 4.724" Properties=species:S:1:pos:R:3 pbc="T T T"
Dy 0.000 0.000 0.000
Pa 2.680 1.547 2.362
Al 0.000 3.094 0.000
O -0.889 1.750 1.098
O -1.608 2.996 3.626
O 0.889 1.750 3.626
O -0.719 4.536 1.098
O 1.608 2.996 1.098
O 0.719 4.536 3.626
```

## Properties
The value obtained for the size of the total moment is 0.7 μB per formula unit. As for the energy: -8.32 eV per atom. As for the symmetry: P312, No. 149.